An optimized crystal structure of DyPuIn6, computed with PBE.

Values from the calculation:
Spin magnetization in μB/f.u.: 5.6
ΔH_f (0 K) in eV/atom: -0.27
Fermi-level density of states in states/eV/cell: 12.5

```
8
Lattice="5.277 0.000 0.000 0.000 6.629 -0.216 0.000 -3.129 5.848" Properties=species:S:1:pos:R:3 pbc="T T T"
In 0.000 2.602 2.287
In 2.638 5.780 0.312
In 2.638 4.253 3.166
In 0.000 -0.806 2.390
In 2.638 2.545 0.417
In 0.000 1.001 5.296
Pu 2.638 0.938 3.321
Dy 0.000 -2.314 5.342
```